No. 1
VASP calculation (PBE-GGA) on a relaxed La2Pr4HoSc crystal.

Space group = P2/m
ΔE_f = 38 meV/atom

Cell lengths 5.114, 5.153, 10.346 Å; angles 90.00, 90.05, 90.00 degrees
Fractional coordinates of all 8 atoms:
La: 0.000 0.000 0.000
La: 0.500 0.500 0.500
Pr: 0.000 0.500 0.254
Pr: 0.000 0.500 0.746
Pr: 0.499 0.000 0.746
Pr: 0.501 0.000 0.254
Ho: 0.500 0.500 0.000
Sc: 0.000 0.000 0.500

No. 2
VASP calculation (PBE-GGA) on a relaxed La2PrHoSe5 crystal.

Space group = P4/mmm
Formation energy (no corrections) = -1453 meV/atom

Cell lengths 5.120, 5.120, 11.037 Å; angles 90.00, 90.00, 90.00 degrees
Fractional coordinates of all 9 atoms:
La: 0.000 0.000 0.183
La: 0.000 0.000 0.817
Pr: 0.500 0.500 0.500
Ho: 0.500 0.500 0.000
Se: 0.000 0.000 0.500
Se: 0.000 0.500 0.000
Se: 0.500 0.000 0.000
Se: 0.500 0.500 0.249
Se: 0.500 0.500 0.751

No. 3
VASP calculation (PBE-GGA) on a relaxed LaPrHo2Se4 crystal.

Space group = P2/m
Formation energy (no corrections) = -1831 meV/atom

Cell lengths 7.125, 4.093, 7.430 Å; angles 90.00, 108.51, 90.00 degrees
Fractional coordinates of all 8 atoms:
La: 0.000 0.000 0.000
Pr: 0.500 0.500 0.000
Ho: 0.000 0.500 0.500
Ho: 0.500 0.000 0.500
Se: 0.244 0.000 0.730
Se: 0.258 0.500 0.271
Se: 0.742 0.500 0.729
Se: 0.756 0.000 0.270

No. 4
VASP calculation (PBE-GGA) on a relaxed LaPr2Ho3Se6 crystal.

Space group = C2/m
Formation energy (no corrections) = -1818 meV/atom

Cell lengths 9.391, 9.391, 8.477 Å; angles 105.09, 105.09, 25.26 degrees
Fractional coordinates of all 12 atoms:
La: 0.000 0.000 0.000
Pr: 0.332 0.332 0.664
Pr: 0.668 0.668 0.336
Ho: 0.000 0.000 0.500
Ho: 0.333 0.333 0.167
Ho: 0.667 0.667 0.833
Se: 0.162 0.162 0.595
Se: 0.171 0.171 0.073
Se: 0.496 0.496 0.262
Se: 0.504 0.504 0.738
Se: 0.829 0.829 0.927
Se: 0.838 0.838 0.405

No. 5
VASP calculation (PBE-GGA) on a relaxed La4PrHo3Se8 crystal.

Space group = R-3m
Formation energy (no corrections) = -1875 meV/atom

Cell lengths 8.450, 8.450, 8.450 Å; angles 59.60, 59.60, 59.60 degrees
Fractional coordinates of all 16 atoms:
La: 0.000 0.000 0.000
La: 0.000 0.500 0.500
La: 0.500 0.000 0.500
La: 0.500 0.500 0.000
Pr: 0.500 0.500 0.500
Ho: 0.000 0.000 0.500
Ho: 0.000 0.500 0.000
Ho: 0.500 0.000 0.000
Se: 0.236 0.749 0.749
Se: 0.243 0.243 0.243
Se: 0.251 0.251 0.764
Se: 0.251 0.764 0.251
Se: 0.749 0.236 0.749
Se: 0.749 0.749 0.236
Se: 0.757 0.757 0.757
Se: 0.764 0.251 0.251

No. 6
VASP calculation (PBE-GGA) on a relaxed LaPr4Ho3Se8 crystal.

Space group = R-3m
Formation energy (no corrections) = -1814 meV/atom

Cell lengths 8.464, 8.464, 8.464 Å; angles 58.92, 58.92, 58.92 degrees
Fractional coordinates of all 16 atoms:
La: 0.000 0.000 0.000
Pr: 0.000 0.000 0.500
Pr: 0.000 0.500 0.000
Pr: 0.500 0.000 0.000
Pr: 0.500 0.500 0.500
Ho: 0.000 0.500 0.500
Ho: 0.500 0.000 0.500
Ho: 0.500 0.500 0.000
Se: 0.250 0.250 0.736
Se: 0.250 0.736 0.250
Se: 0.257 0.257 0.257
Se: 0.264 0.750 0.750
Se: 0.736 0.250 0.250
Se: 0.743 0.743 0.743
Se: 0.750 0.264 0.750
Se: 0.750 0.750 0.264

No. 7
VASP calculation (PBE-GGA) on a relaxed La2PrHoSe4 crystal.

Space group = P2/m
Formation energy (no corrections) = -1890 meV/atom

Cell lengths 7.360, 4.194, 7.377 Å; angles 90.00, 108.96, 90.00 degrees
Fractional coordinates of all 8 atoms:
La: 0.000 0.000 0.000
La: 0.000 0.500 0.500
Pr: 0.500 0.000 0.500
Ho: 0.500 0.500 0.000
Se: 0.259 0.500 0.244
Se: 0.265 0.000 0.764
Se: 0.735 0.000 0.236
Se: 0.741 0.500 0.756

No. 8
VASP calculation (PBE-GGA) on a relaxed La3PrHo2Se6 crystal.

Space group = C2/m
Formation energy (no corrections) = -1887 meV/atom

Cell lengths 7.295, 7.295, 7.341 Å; angles 99.53, 99.53, 120.15 degrees
Fractional coordinates of all 12 atoms:
La: 0.000 0.000 0.000
La: 0.339 0.661 0.000
La: 0.661 0.339 0.000
Pr: 0.500 0.500 0.500
Ho: 0.167 0.833 0.500
Ho: 0.833 0.167 0.500
Se: 0.076 0.421 0.263
Se: 0.232 0.232 0.732
Se: 0.421 0.076 0.263
Se: 0.579 0.924 0.737
Se: 0.768 0.768 0.268
Se: 0.924 0.579 0.737

No. 9
VASP calculation (PBE-GGA) on a relaxed La2Pr3HoSe6 crystal.

Space group = C2/m
Formation energy (no corrections) = -1875 meV/atom

Cell lengths 9.486, 9.486, 8.555 Å; angles 102.93, 102.93, 25.74 degrees
Fractional coordinates of all 12 atoms:
La: 0.166 0.166 0.334
La: 0.834 0.834 0.666
Pr: 0.170 0.170 0.835
Pr: 0.500 0.500 0.500
Pr: 0.830 0.830 0.165
Ho: 0.500 0.500 0.000
Se: 0.002 0.002 0.765
Se: 0.334 0.334 0.415
Se: 0.340 0.340 0.921
Se: 0.660 0.660 0.079
Se: 0.666 0.666 0.585
Se: 0.998 0.998 0.235

No. 10
VASP calculation (PBE-GGA) on a relaxed La4Pr3HoSe8 crystal.

Space group = R-3m
Formation energy (no corrections) = -1905 meV/atom

Cell lengths 8.520, 8.520, 8.520 Å; angles 60.16, 60.16, 60.16 degrees
Fractional coordinates of all 16 atoms:
La: 0.000 0.000 0.000
La: 0.000 0.500 0.500
La: 0.500 0.000 0.500
La: 0.500 0.500 0.000
Pr: 0.000 0.000 0.500
Pr: 0.000 0.500 0.000
Pr: 0.500 0.000 0.000
Ho: 0.500 0.500 0.500
Se: 0.249 0.249 0.249
Se: 0.257 0.742 0.742
Se: 0.258 0.258 0.743
Se: 0.258 0.743 0.258
Se: 0.742 0.257 0.742
Se: 0.742 0.742 0.257
Se: 0.743 0.258 0.258
Se: 0.751 0.751 0.751

No. 11
VASP calculation (PBE-GGA) on a relaxed La3PrHo3Se8 crystal.

Space group = R-3m
Formation energy (no corrections) = -1904 meV/atom

Cell lengths 8.408, 8.408, 8.408 Å; angles 59.16, 59.16, 59.16 degrees
Fractional coordinates of all 15 atoms:
La: 0.000 0.500 0.500
La: 0.500 0.000 0.500
La: 0.500 0.500 0.000
Pr: 0.500 0.500 0.500
Ho: 0.000 0.000 0.500
Ho: 0.000 0.500 0.000
Ho: 0.500 0.000 0.000
Se: 0.231 0.756 0.756
Se: 0.243 0.243 0.243
Se: 0.244 0.244 0.769
Se: 0.244 0.769 0.244
Se: 0.756 0.231 0.756
Se: 0.756 0.756 0.231
Se: 0.757 0.757 0.757
Se: 0.769 0.244 0.244

No. 12
VASP calculation (PBE-GGA) on a relaxed LaPr2HoSe4 crystal.

Space group = P2/m
Formation energy (no corrections) = -1848 meV/atom

Cell lengths 7.354, 4.171, 7.361 Å; angles 90.00, 108.76, 90.00 degrees
Fractional coordinates of all 8 atoms:
La: 0.000 0.000 0.000
Pr: 0.500 0.000 0.500
Pr: 0.500 0.500 0.000
Ho: 0.000 0.500 0.500
Se: 0.237 0.000 0.736
Se: 0.244 0.500 0.258
Se: 0.756 0.500 0.742
Se: 0.763 0.000 0.264

| no. | total DFT energy (no corrections) (eV per cell) |
| --- | --- |
| 1 | -39.58 |
| 2 | -49.71 |
| 3 | -47.45 |
| 4 | -70.95 |
| 5 | -96.10 |
| 6 | -94.69 |
| 7 | -48.27 |
| 8 | -72.27 |
| 9 | -72.18 |
| 10 | -96.99 |
| 11 | -89.73 |
| 12 | -47.79 |